No. 1
HoSeF | PBE-GGA | optimized geometry

Cell: 9.9612 4.1047 6.3302 Å, 90.00 90.00 90.00°
Sites, in units of the cell vectors:
Ho 0.0784 0.2500 0.2342
Ho 0.4216 0.7500 0.7342
Ho 0.5784 0.2500 0.2658
Ho 0.9216 0.7500 0.7658
Se 0.1655 0.7500 0.5345
Se 0.3345 0.2500 0.0345
Se 0.6655 0.7500 0.9655
Se 0.8345 0.2500 0.4655
F 0.0338 0.7500 0.0914
F 0.4662 0.2500 0.5914
F 0.5338 0.7500 0.4086
F 0.9662 0.2500 0.9086

## Properties
Raw formation energy, eV/atom: -2.891

***

No. 2
La3PmNd6 | PBE-GGA | optimized geometry

Cell: 7.1004 7.1004 7.1004 Å, 91.45 91.45 91.45°
Sites, in units of the cell vectors:
La 0.0000 0.0000 0.0000
La 0.2484 0.2484 0.2484
La 0.4972 0.4972 0.4972
Pm 0.7481 0.7481 0.7481
Nd 0.1753 0.5015 0.8212
Nd 0.3202 0.9955 0.6745
Nd 0.5015 0.8212 0.1753
Nd 0.6745 0.3202 0.9955
Nd 0.8212 0.1753 0.5015
Nd 0.9955 0.6745 0.3202

## Properties
Energy above the lowest structure with this stoichiometry, meV/atom: 96.2
DFT formation energy, meV/atom: 222

***

No. 3
TcPHOs | PBE-GGA | optimized geometry

Cell: 2.9816 3.0212 6.0005 Å, 85.11 75.73 60.44°
Sites, in units of the cell vectors:
Tc 0.0000 0.0000 0.0000
P 0.4764 0.3191 0.7241
H 0.5696 0.6993 0.1610
Os 0.2968 0.9465 0.4528

## Properties
Energy above the lowest structure with this stoichiometry, meV/atom: 45.0

***

No. 4
DyPaNiOs | PBE-GGA | optimized geometry

Cell: 4.8216 4.8216 4.8216 Å, 60.00 60.00 60.00°
Sites, in units of the cell vectors:
Dy 0.0000 0.0000 0.0000
Pa 0.5000 0.5000 0.5000
Ni 0.7500 0.7500 0.7500
Os 0.2500 0.2500 0.2500

## Properties
DFT formation energy, meV/atom: -250

***

No. 5
CaYAl | PBE-GGA | optimized geometry

Cell: 6.1626 6.1626 7.0437 Å, 124.44 124.44 63.16°
Sites, in units of the cell vectors:
Ca 0.0000 0.0000 0.0000
Ca 0.1835 0.1835 0.6747
Y 0.5368 0.5368 0.3610
Y 0.6284 0.6284 0.9469
Al 0.0733 0.6037 0.4575
Al 0.6037 0.0733 0.4575

## Properties
Energy above the lowest structure with this stoichiometry, meV/atom: 90.4
DFT formation energy, meV/atom: -159

***

No. 6
LiSbIO2 | PBE-GGA | optimized geometry

Cell: 4.2305 4.2305 4.9205 Å, 90.00 90.00 90.00°
Sites, in units of the cell vectors:
Li 0.0000 0.0000 0.0000
Sb 0.5000 0.5000 0.5000
I 0.0000 0.0000 0.5000
O 0.0000 0.5000 0.0000
O 0.5000 0.0000 0.0000

## Properties
Raw formation energy, eV/atom: 0.157
Energy above the lowest structure with this stoichiometry, meV/atom: 1045.6